1:
Entry from the Alexandria database: a relaxed Np2BiSb crystal (GGA-PBE).

Cell: 3.3344 3.3344 32.8239 Å, 90.00 90.00 120.00°
Last column: nearest neighbours and their distance in Å.
Fractional positions:
1 Np 0.0000 0.0000 0.2470  3 Sb 3.26, 6 Np 3.33, 3 Bi 3.43
2 Np 0.0000 0.0000 0.7530  3 Sb 3.26, 6 Np 3.33, 3 Bi 3.43
3 Np 0.3333 0.6667 0.4197  3 Sb 3.26, 6 Np 3.33, 3 Bi 3.43
4 Np 0.3333 0.6667 0.9136  3 Sb 3.26, 6 Np 3.33, 3 Bi 3.43
5 Np 0.6667 0.3333 0.0864  3 Sb 3.26, 6 Np 3.33, 3 Bi 3.43
6 Np 0.6667 0.3333 0.5803  3 Sb 3.26, 6 Np 3.33, 3 Bi 3.43
7 Bi 0.0000 0.0000 0.0000  6 Bi 3.33, 6 Np 3.43
8 Bi 0.3333 0.6667 0.6667  6 Bi 3.33, 6 Np 3.43
9 Bi 0.6667 0.3333 0.3333  6 Bi 3.33, 6 Np 3.43
10 Sb 0.0000 0.0000 0.5000  6 Np 3.26, 6 Sb 3.33
11 Sb 0.3333 0.6667 0.1667  6 Np 3.26, 6 Sb 3.33
12 Sb 0.6667 0.3333 0.8333  6 Np 3.26, 6 Sb 3.33

Computed properties:
- Space group: No. 166
- Fermi-level density of states: 2.476 states/eV per atom

=====

2:
Entry from the Alexandria database: a relaxed Np2BiSb crystal (GGA-PBE).

Cell: 5.8137 5.8137 3.1949 Å, 90.00 90.00 90.00°
Last column: nearest neighbours and their distance in Å.
Fractional positions:
1 Np 0.0000 0.5000 0.0000  2 Np 3.19, 4 Bi 3.32, 4 Sb 3.32
2 Np 0.5000 0.0000 0.0000  2 Np 3.19, 4 Bi 3.32, 4 Sb 3.32
3 Bi 0.0000 0.0000 0.5000  2 Bi 3.19, 8 Np 3.32
4 Sb 0.5000 0.5000 0.5000  2 Sb 3.19, 8 Np 3.32

Computed properties:
- Space group: No. 123
- Fermi-level density of states: 3.627 states/eV per atom

=====

It comes down to 2, which is 25.4 kJ/mol of atoms more stable than the next structure.

=====

1:
Entry from the Alexandria database: a relaxed NpBiSb crystal (GGA-PBE).

Cell: 5.6007 5.6007 3.1050 Å, 90.00 90.00 120.00°
Last column: nearest neighbours and their distance in Å.
Fractional positions:
1 Np 0.0000 0.0000 0.0000  2 Np 3.11
2 Bi 0.6667 0.3333 0.5000  2 Bi 3.11, 3 Sb 3.23
3 Sb 0.3333 0.6667 0.5000  2 Sb 3.11, 3 Bi 3.23

Computed properties:
- Space group: No. 187
- Fermi-level density of states: 2.362 states/eV per atom

=====

2:
Entry from the Alexandria database: a relaxed NpBiSb crystal (GGA-PBE).

Cell: 5.2482 5.2581 8.0517 Å, 108.97 90.05 119.89°
Last column: nearest neighbours and their distance in Å.
Fractional positions:
1 Np 0.0581 0.1164 0.1743  1 Np 2.60
2 Np 0.9419 0.8836 0.8257  1 Np 2.60
3 Bi 0.2059 0.4118 0.6179  4 Np 3.31-3.41, 1 Sb 3.34, 3 Bi 3.50-3.51
4 Bi 0.7941 0.5882 0.3821  4 Np 3.31-3.41, 1 Sb 3.34, 3 Bi 3.50-3.51
5 Sb 0.3554 0.7109 0.0660  3 Np 3.14, 3 Sb 3.19, 1 Bi 3.34
6 Sb 0.6446 0.2891 0.9340  3 Np 3.14, 3 Sb 3.19, 1 Bi 3.34

Computed properties:
- Space group: No. 2
- Fermi-level density of states: 2.576 states/eV per atom

=====

3:
Entry from the Alexandria database: a relaxed NpBiSb crystal (GGA-PBE).

Cell: 4.0010 4.0010 10.4325 Å, 90.00 90.00 90.00°
Last column: nearest neighbours and their distance in Å.
Fractional positions:
1 Np 0.0000 0.0000 0.0000  4 Sb 3.22, 5 Bi 3.34-3.45
2 Np 0.5000 0.5000 0.5000  4 Sb 3.22, 5 Bi 3.34-3.45
3 Bi 0.0000 0.0000 0.6697  5 Sb 3.31-3.41, 5 Np 3.34-3.45
4 Bi 0.5000 0.5000 0.1697  5 Sb 3.31-3.41, 5 Np 3.34-3.45
5 Sb 0.0000 0.0000 0.3529  4 Np 3.22, 5 Bi 3.31-3.41
6 Sb 0.5000 0.5000 0.8529  4 Np 3.22, 5 Bi 3.31-3.41

Computed properties:
- Space group: No. 107
- Fermi-level density of states: 2.672 states/eV per atom

=====

4:
Entry from the Alexandria database: a relaxed NpBiSb crystal (GGA-PBE).

Cell: 6.0787 5.9760 9.6423 Å, 90.00 93.70 90.00°
Last column: nearest neighbours and their distance in Å.
Fractional positions:
1 Np 0.1599 0.0000 0.1022  1 Np 2.68
2 Np 0.3401 0.5000 0.8978  1 Np 2.68
3 Np 0.6599 0.5000 0.1022  1 Np 2.68
4 Np 0.8401 0.0000 0.8978  1 Np 2.68
5 Bi 0.1602 0.5000 0.2124  5 Np 3.16-3.29, 1 Sb 3.32
6 Bi 0.3398 0.0000 0.7876  5 Np 3.16-3.29, 1 Sb 3.32
7 Bi 0.6602 0.0000 0.2124  5 Np 3.16-3.29, 1 Sb 3.32
8 Bi 0.8398 0.5000 0.7876  5 Np 3.16-3.29, 1 Sb 3.32
9 Sb 0.2184 0.0000 0.4470  3 Sb 2.91-3.17
10 Sb 0.2816 0.5000 0.5530  3 Sb 2.91-3.17
11 Sb 0.7184 0.5000 0.4470  3 Sb 2.91-3.17
12 Sb 0.7816 0.0000 0.5530  3 Sb 2.91-3.17

Computed properties:
- Space group: No. 12
- Fermi-level density of states: 2.252 states/eV per atom

=====

It comes down to 3, which is 10.1 kJ/mol of atoms more stable than the next structure.

=====

1:
Entry from the Alexandria database: a relaxed NpBiSb crystal (GGA-PBE).

Cell: 4.4504 4.4504 17.2485 Å, 90.00 90.00 90.00°
Last column: nearest neighbours and their distance in Å.
Fractional positions:
1 Np 0.0000 0.0000 0.1305  4 Sb 3.16, 5 Bi 3.26-3.29
2 Np 0.0000 0.0000 0.8695  4 Sb 3.16, 5 Bi 3.26-3.29
3 Np 0.5000 0.5000 0.3695  4 Sb 3.16, 5 Bi 3.26-3.29
4 Np 0.5000 0.5000 0.6305  4 Sb 3.16, 5 Bi 3.26-3.29
5 Bi 0.0000 0.0000 0.3209  5 Np 3.26-3.29
6 Bi 0.0000 0.0000 0.6791  5 Np 3.26-3.29
7 Bi 0.5000 0.5000 0.1791  5 Np 3.26-3.29
8 Bi 0.5000 0.5000 0.8209  5 Np 3.26-3.29
9 Sb 0.0000 0.5000 0.0000  4 Sb 3.15, 4 Np 3.16
10 Sb 0.0000 0.5000 0.5000  4 Sb 3.15, 4 Np 3.16
11 Sb 0.5000 0.0000 0.0000  4 Sb 3.15, 4 Np 3.16
12 Sb 0.5000 0.0000 0.5000  4 Sb 3.15, 4 Np 3.16

Computed properties:
- Space group: No. 139
- Fermi-level density of states: 4.078 states/eV per atom

=====

2:
Entry from the Alexandria database: a relaxed NpBiSb crystal (GGA-PBE).

Cell: 7.3716 7.3716 7.3716 Å, 90.00 90.00 90.00°
Last column: nearest neighbours and their distance in Å.
Fractional positions:
1 Np 0.0000 0.0000 0.0000  4 Sb 3.19, 4 Bi 3.19
2 Np 0.0000 0.5000 0.5000  4 Bi 3.19, 4 Sb 3.19
3 Np 0.5000 0.0000 0.5000  4 Bi 3.19, 4 Sb 3.19
4 Np 0.5000 0.5000 0.0000  4 Sb 3.19, 4 Bi 3.19
5 Bi 0.2500 0.2500 0.7500  4 Np 3.19
6 Bi 0.2500 0.7500 0.2500  4 Np 3.19
7 Bi 0.7500 0.2500 0.2500  4 Np 3.19
8 Bi 0.7500 0.7500 0.7500  4 Np 3.19
9 Sb 0.2500 0.2500 0.2500  4 Np 3.19
10 Sb 0.2500 0.7500 0.7500  4 Np 3.19
11 Sb 0.7500 0.2500 0.7500  4 Np 3.19
12 Sb 0.7500 0.7500 0.2500  4 Np 3.19

Computed properties:
- Space group: No. 216
- Fermi-level density of states: 5.085 states/eV per atom

=====

It comes down to 1, which is 25.9 kJ/mol of atoms more stable than the next structure.

=====

1:
Entry from the Alexandria database: a relaxed NpScBi2 crystal (GGA-PBE).

Cell: 5.7047 5.7047 3.3514 Å, 90.00 90.00 90.00°
Last column: nearest neighbours and their distance in Å.
Fractional positions:
1 Np 0.0000 0.0000 0.0000  8 Bi 3.31, 2 Np 3.35
2 Sc 0.5000 0.5000 0.0000  8 Bi 3.31, 2 Sc 3.35
3 Bi 0.0000 0.5000 0.5000  4 Np 3.31, 4 Sc 3.31, 2 Bi 3.35
4 Bi 0.5000 0.0000 0.5000  4 Np 3.31, 4 Sc 3.31, 2 Bi 3.35

Computed properties:
- Space group: No. 123
- Fermi-level density of states: 2.786 states/eV per atom

=====

2:
Entry from the Alexandria database: a relaxed NpScBi2 crystal (GGA-PBE).

Cell: 4.3751 4.3751 21.6317 Å, 90.00 90.00 120.00°
Last column: nearest neighbours and their distance in Å.
Fractional positions:
1 Np 0.0000 0.0000 0.0000  6 Bi 3.18
2 Np 0.3333 0.6667 0.6667  6 Bi 3.18
3 Np 0.6667 0.3333 0.3333  6 Bi 3.18
4 Sc 0.0000 0.0000 0.5000  6 Bi 3.03
5 Sc 0.3333 0.6667 0.1667  6 Bi 3.03
6 Sc 0.6667 0.3333 0.8333  6 Bi 3.03
7 Bi 0.0000 0.0000 0.2442  3 Sc 3.03, 3 Np 3.18
8 Bi 0.0000 0.0000 0.7558  3 Sc 3.03, 3 Np 3.18
9 Bi 0.3333 0.6667 0.4225  3 Sc 3.03, 3 Np 3.18
10 Bi 0.3333 0.6667 0.9109  3 Sc 3.03, 3 Np 3.18
11 Bi 0.6667 0.3333 0.0891  3 Sc 3.03, 3 Np 3.18
12 Bi 0.6667 0.3333 0.5775  3 Sc 3.03, 3 Np 3.18

Computed properties:
- Space group: No. 166
- Fermi-level density of states: 2.718 states/eV per atom

=====

3:
Entry from the Alexandria database: a relaxed NpScBi2 crystal (GGA-PBE).

Cell: 7.5781 7.5781 7.5781 Å, 90.00 90.00 90.00°
Last column: nearest neighbours and their distance in Å.
Fractional positions:
1 Np 0.0000 0.0000 0.0000  8 Bi 3.28
2 Np 0.0000 0.5000 0.5000  8 Bi 3.28
3 Np 0.5000 0.0000 0.5000  8 Bi 3.28
4 Np 0.5000 0.5000 0.0000  8 Bi 3.28
5 Sc 0.0000 0.0000 0.5000  8 Bi 3.28
6 Sc 0.0000 0.5000 0.0000  8 Bi 3.28
7 Sc 0.5000 0.0000 0.0000  8 Bi 3.28
8 Sc 0.5000 0.5000 0.5000  8 Bi 3.28
9 Bi 0.2500 0.2500 0.2500  4 Np 3.28, 4 Sc 3.28
10 Bi 0.2500 0.2500 0.7500  4 Np 3.28, 4 Sc 3.28
11 Bi 0.2500 0.7500 0.2500  4 Np 3.28, 4 Sc 3.28
12 Bi 0.2500 0.7500 0.7500  4 Np 3.28, 4 Sc 3.28
13 Bi 0.7500 0.2500 0.2500  4 Np 3.28, 4 Sc 3.28
14 Bi 0.7500 0.2500 0.7500  4 Np 3.28, 4 Sc 3.28
15 Bi 0.7500 0.7500 0.2500  4 Np 3.28, 4 Sc 3.28
16 Bi 0.7500 0.7500 0.7500  4 Np 3.28, 4 Sc 3.28

Computed properties:
- Space group: No. 225
- Fermi-level density of states: 3.627 states/eV per atom

=====

It comes down to 2, which is 10.1 kJ/mol of atoms more stable than the next structure.

=====

1:
Entry from the Alexandria database: a relaxed SmNpBi2 crystal (GGA-PBE).

Cell: 5.9235 5.9235 3.3567 Å, 90.00 90.00 90.00°
Last column: nearest neighbours and their distance in Å.
Fractional positions:
1 Sm 0.0000 0.0000 0.0000  2 Sm 3.36, 8 Bi 3.40
2 Np 0.5000 0.5000 0.0000  2 Np 3.36, 8 Bi 3.40
3 Bi 0.0000 0.5000 0.5000  2 Bi 3.36, 4 Np 3.40, 4 Sm 3.40
4 Bi 0.5000 0.0000 0.5000  2 Bi 3.36, 4 Np 3.40, 4 Sm 3.40

Computed properties:
- Space group: No. 123
- Fermi-level density of states: 2.889 states/eV per atom

=====

2:
Entry from the Alexandria database: a relaxed SmNpBi2 crystal (GGA-PBE).

Cell: 7.8022 7.8022 7.8022 Å, 90.00 90.00 90.00°
Last column: nearest neighbours and their distance in Å.
Fractional positions:
1 Sm 0.0000 0.0000 0.0000  8 Bi 3.38
2 Sm 0.0000 0.5000 0.5000  8 Bi 3.38
3 Sm 0.5000 0.0000 0.5000  8 Bi 3.38
4 Sm 0.5000 0.5000 0.0000  8 Bi 3.38
5 Np 0.0000 0.0000 0.5000  8 Bi 3.38
6 Np 0.0000 0.5000 0.0000  8 Bi 3.38
7 Np 0.5000 0.0000 0.0000  8 Bi 3.38
8 Np 0.5000 0.5000 0.5000  8 Bi 3.38
9 Bi 0.2500 0.2500 0.2500  4 Np 3.38, 4 Sm 3.38
10 Bi 0.2500 0.2500 0.7500  4 Np 3.38, 4 Sm 3.38
11 Bi 0.2500 0.7500 0.2500  4 Np 3.38, 4 Sm 3.38
12 Bi 0.2500 0.7500 0.7500  4 Np 3.38, 4 Sm 3.38
13 Bi 0.7500 0.2500 0.2500  4 Np 3.38, 4 Sm 3.38
14 Bi 0.7500 0.2500 0.7500  4 Np 3.38, 4 Sm 3.38
15 Bi 0.7500 0.7500 0.2500  4 Np 3.38, 4 Sm 3.38
16 Bi 0.7500 0.7500 0.7500  4 Np 3.38, 4 Sm 3.38

Computed properties:
- Space group: No. 225
- Fermi-level density of states: 3.730 states/eV per atom

=====

3:
Entry from the Alexandria database: a relaxed SmNpBi2 crystal (GGA-PBE).

Cell: 4.5195 4.5195 22.3807 Å, 90.00 90.00 120.00°
Last column: nearest neighbours and their distance in Å.
Fractional positions:
1 Sm 0.0000 0.0000 0.0000  6 Bi 3.22
2 Sm 0.3333 0.6667 0.6667  6 Bi 3.22
3 Sm 0.6667 0.3333 0.3333  6 Bi 3.22
4 Np 0.0000 0.0000 0.5000  6 Bi 3.19
5 Np 0.3333 0.6667 0.1667  6 Bi 3.19
6 Np 0.6667 0.3333 0.8333  6 Bi 3.19
7 Bi 0.0000 0.0000 0.2489  3 Np 3.19, 3 Sm 3.22
8 Bi 0.0000 0.0000 0.7511  3 Np 3.19, 3 Sm 3.22
9 Bi 0.3333 0.6667 0.4178  3 Np 3.19, 3 Sm 3.22
10 Bi 0.3333 0.6667 0.9156  3 Np 3.19, 3 Sm 3.22
11 Bi 0.6667 0.3333 0.0844  3 Np 3.19, 3 Sm 3.22
12 Bi 0.6667 0.3333 0.5822  3 Np 3.19, 3 Sm 3.22

Computed properties:
- Space group: No. 166
- Fermi-level density of states: 3.000 states/eV per atom

=====

It comes down to 3, which is 9.3 kJ/mol of atoms more stable than the next structure.

=====

1:
Entry from the Alexandria database: a relaxed NpSnBi2 crystal (GGA-PBE).

Cell: 3.3816 3.3816 36.2644 Å, 90.00 90.00 120.00°
Last column: nearest neighbours and their distance in Å.
Fractional positions:
1 Np 0.0000 0.0000 0.0000  6 Np 3.38, 6 Bi 3.40
2 Np 0.3333 0.6667 0.6667  6 Np 3.38, 6 Bi 3.40
3 Np 0.6667 0.3333 0.3333  6 Np 3.38, 6 Bi 3.40
4 Sn 0.0000 0.0000 0.5000  2 Bi 3.26, 6 Sn 3.38
5 Sn 0.3333 0.6667 0.1667  2 Bi 3.26, 6 Sn 3.38
6 Sn 0.6667 0.3333 0.8333  2 Bi 3.26, 6 Sn 3.38
7 Bi 0.0000 0.0000 0.4100  1 Sn 3.26, 6 Bi 3.38, 3 Np 3.40
8 Bi 0.0000 0.0000 0.5900  1 Sn 3.26, 6 Bi 3.38, 3 Np 3.40
9 Bi 0.3333 0.6667 0.0766  1 Sn 3.26, 6 Bi 3.38, 3 Np 3.40
10 Bi 0.3333 0.6667 0.2567  1 Sn 3.26, 6 Bi 3.38, 3 Np 3.40
11 Bi 0.6667 0.3333 0.7433  1 Sn 3.26, 6 Bi 3.38, 3 Np 3.40
12 Bi 0.6667 0.3333 0.9234  1 Sn 3.26, 6 Bi 3.38, 3 Np 3.40

Computed properties:
- Space group: No. 166
- Fermi-level density of states: 1.845 states/eV per atom

=====

2:
Entry from the Alexandria database: a relaxed NpSnBi2 crystal (GGA-PBE).

Cell: 4.2216 4.2216 6.5151 Å, 90.00 90.00 90.00°
Last column: nearest neighbours and their distance in Å.
Fractional positions:
1 Np 0.0000 0.0000 0.0000  2 Sn 3.26, 8 Bi 3.38
2 Sn 0.0000 0.0000 0.5000  2 Np 3.26, 8 Bi 3.42
3 Bi 0.5000 0.5000 0.2432  2 Bi 3.17-3.35, 4 Np 3.38, 4 Sn 3.42
4 Bi 0.5000 0.5000 0.7568  2 Bi 3.17-3.35, 4 Np 3.38, 4 Sn 3.42

Computed properties:
- Space group: No. 123
- Fermi-level density of states: 2.350 states/eV per atom

=====

It comes down to 2, which is 12.5 kJ/mol of atoms more stable than the next structure.